This record from Alexandria via LeMat-Bulk describes a geometry-optimized CaTh2Al6 structure. The functional is PBE.

Cell: 7.964 7.964 3.743 Å, 90.00 90.00 120.00°
Element x y z (fractional)
Ca1 0.000 0.000 0.000
Th1 0.333 0.667 0.000
Th2 0.667 0.333 0.000
Al1 0.000 0.334 0.500
Al2 0.000 0.666 0.500
Al3 0.334 0.000 0.500
Al4 0.334 0.334 0.500
Al5 0.666 0.000 0.500
Al6 0.666 0.666 0.500

Summary:
The energy is -4.73 eV per atom. The density of states at the Fermi level is 4.099 states/eV/f.u. As for the energy of formation from the pure elements: -0.361 eV/atom. Its space-group type is No. 191.